La2MnAg2: PBEsol geometry, meta-GGA SCAN.

Cell: 5.700 5.700 5.700 Å, 93.14 118.21 118.21°
Site moments in Bohr magnetons follow the coordinates.
Atoms (fractional coordinates):
La (0.500, 0.250, 0.750)  -0.15
La (0.500, 0.750, 0.250)  -0.15
Ag (0.000, 0.662, 0.662)  -0.01
Ag (0.000, 0.338, 0.338)  -0.01
Mn (0.000, 0.000, 0.000)  4.29

Properties
- SG = I4/mmm (139)
- E_form (eV/atom) = 0.00